Record 1
Compound: LiLaMg30O32
Source: the Alexandria database
Functional: PBEsol
Structure: relaxed

Cell: 8.5188 8.5188 8.5055 Å, 90.00 90.00 90.00°
Sites, in units of the cell vectors:
Li 0.0000 0.0000 0.0000
La 0.0000 0.0000 0.5000
Mg 0.0000 0.2547 0.2380
Mg 0.0000 0.2547 0.7620
Mg 0.0000 0.5000 0.0000
Mg 0.0000 0.5000 0.5000
Mg 0.0000 0.7453 0.2380
Mg 0.0000 0.7453 0.7620
Mg 0.2479 0.2479 0.0000
Mg 0.2479 0.7521 0.0000
Mg 0.2502 0.5000 0.2479
Mg 0.2502 0.5000 0.7521
Mg 0.2547 0.0000 0.2380
Mg 0.2547 0.0000 0.7620
Mg 0.2577 0.2577 0.5000
Mg 0.2577 0.7423 0.5000
Mg 0.5000 0.0000 0.0000
Mg 0.5000 0.0000 0.5000
Mg 0.5000 0.2502 0.2479
Mg 0.5000 0.2502 0.7521
Mg 0.5000 0.5000 0.0000
Mg 0.5000 0.5000 0.5000
Mg 0.5000 0.7498 0.2479
Mg 0.5000 0.7498 0.7521
Mg 0.7423 0.2577 0.5000
Mg 0.7423 0.7423 0.5000
Mg 0.7453 0.0000 0.2380
Mg 0.7453 0.0000 0.7620
Mg 0.7498 0.5000 0.2479
Mg 0.7498 0.5000 0.7521
Mg 0.7521 0.2479 0.0000
Mg 0.7521 0.7521 0.0000
O 0.0000 0.0000 0.2315
O 0.0000 0.0000 0.7685
O 0.0000 0.2605 0.0000
O 0.0000 0.2683 0.5000
O 0.0000 0.5000 0.2489
O 0.0000 0.5000 0.7511
O 0.0000 0.7317 0.5000
O 0.0000 0.7395 0.0000
O 0.2494 0.2494 0.2512
O 0.2494 0.2494 0.7488
O 0.2494 0.7506 0.2512
O 0.2494 0.7506 0.7488
O 0.2519 0.5000 0.0000
O 0.2532 0.5000 0.5000
O 0.2605 0.0000 0.0000
O 0.2683 0.0000 0.5000
O 0.5000 0.0000 0.2489
O 0.5000 0.0000 0.7511
O 0.5000 0.2519 0.0000
O 0.5000 0.2532 0.5000
O 0.5000 0.5000 0.2501
O 0.5000 0.5000 0.7499
O 0.5000 0.7468 0.5000
O 0.5000 0.7481 0.0000
O 0.7317 0.0000 0.5000
O 0.7395 0.0000 0.0000
O 0.7468 0.5000 0.5000
O 0.7481 0.5000 0.0000
O 0.7506 0.2494 0.2512
O 0.7506 0.2494 0.7488
O 0.7506 0.7506 0.2512
O 0.7506 0.7506 0.7488

Calculated values
- D(E_F) (states/eV/f.u.) = 0.0
- symmetry = No. 123
- density (g/cm³) = 3.7
- DFT total energy (eV/atom) = -6.250

***

Record 2
Compound: LiLaMg2Te
Source: the Alexandria database
Functional: PBEsol
Structure: relaxed

Cell: 5.5820 5.5820 4.8674 Å, 90.00 90.00 90.00°
Sites, in units of the cell vectors:
Li 0.0000 0.0000 0.0000
La 0.5000 0.5000 0.0000
Mg 0.0000 0.5000 0.5000
Mg 0.5000 0.0000 0.5000
Te 0.0000 0.0000 0.5000

Calculated values
- D(E_F) (states/eV/f.u.) = 4.4
- symmetry = No. 123
- density (g/cm³) = 3.5
- DFT total energy (eV/atom) = -2.778

***

Record 3
Compound: LiLa2Mn
Source: the Alexandria database
Functional: PBEsol
Structure: relaxed

Cell: 6.2336 6.2336 6.2336 Å, 147.10 131.56 59.80°
Sites, in units of the cell vectors:
Li 0.0000 0.0000 0.0000
La 0.4318 0.4318 0.0000
La 0.7177 0.2177 0.5000
Mn 0.1907 0.6907 0.5000

Calculated values
- D(E_F) (states/eV/f.u.) = 4.8
- symmetry = No. 44
- density (g/cm³) = 5.8
- energy of formation (eV per atom) = 0.3193

***

Record 4
Compound: LiLa2Mn
Source: the Alexandria database
Functional: PBEsol
Structure: relaxed

Cell: 9.6194 9.6194 9.6194 Å, 21.82 21.82 21.82°
Sites, in units of the cell vectors:
Li 0.0000 0.0000 0.0000
La 0.2328 0.2328 0.2328
La 0.7672 0.7672 0.7672
Mn 0.5000 0.5000 0.5000

Calculated values
- D(E_F) (states/eV/f.u.) = 4.5
- symmetry = No. 166
- density (g/cm³) = 5.2
- energy of formation (eV per atom) = 0.3815

***

Record 5
Compound: LiLa2MnN
Source: the Alexandria database
Functional: PBEsol
Structure: relaxed

Cell: 5.2062 5.2062 3.6263 Å, 90.00 90.00 90.00°
Sites, in units of the cell vectors:
Li 0.0000 0.0000 0.0000
La 0.0000 0.5000 0.5000
La 0.5000 0.0000 0.5000
Mn 0.5000 0.5000 0.0000
N 0.5000 0.5000 0.5000

Calculated values
- D(E_F) (states/eV/f.u.) = 3.7
- symmetry = No. 123
- density (g/cm³) = 6.0
- DFT total energy (eV/atom) = -6.680

***

Record 6
Compound: LiLa4MnO8
Source: the Alexandria database
Functional: PBEsol
Structure: relaxed

Cell: 6.9399 6.9399 5.3006 Å, 90.00 90.00 135.09°
Sites, in units of the cell vectors:
Li 0.0000 0.0000 0.0000
La 0.1367 0.8633 0.5000
La 0.3618 0.6382 0.0000
La 0.6382 0.3618 0.0000
La 0.8633 0.1367 0.5000
Mn 0.5000 0.5000 0.5000
O 0.1806 0.8194 0.0000
O 0.2527 0.2527 0.2535
O 0.2527 0.2527 0.7465
O 0.3196 0.6804 0.5000
O 0.6804 0.3196 0.5000
O 0.7473 0.7473 0.2535
O 0.7473 0.7473 0.7465
O 0.8194 0.1806 0.0000

Calculated values
- D(E_F) (states/eV/f.u.) = 0.0
- symmetry = No. 65
- density (g/cm³) = 6.9
- DFT total energy (eV/atom) = -8.372